Material: FeH2O
Method: DFT, GGA+U
State: relaxed

Uncorrected energy in eV per atom: -4.448
Space group: No. 141
Crystal system: tetragonal
Volume in Å³/atom: 10.1
Total magnetization in μB per cell: 7.970

Geometry as POSCAR:
```
FeH2O
1.0
-0.669 -0.938 2.555
2.271 -1.642 -0.008
6.295 6.287 5.493
O Fe H
2 2 4
Cartesian
4.684 1.677 3.379
0.801 -1.290 1.274
3.214 2.030 4.661
0.000 0.000 0.000
2.408 -0.275 3.604
1.272 0.546 3.608
4.420 3.689 6.354
4.754 4.158 5.077
```